A | ## Li2AgBi2 (PBE-GGA)

Data for crystalline Li2AgBi2 at its relaxed geometry. Values from VASP.

```
&SYSTEM
  ibrav = 0, nat = 10, ntyp = 3
/
ATOMIC_SPECIES
Li 6.94 Li.upf
Ag 107.87 Ag.upf
Bi 208.98 Bi.upf
ATOMIC_POSITIONS crystal
Li 0.120 0.380 0.000
Li 0.380 0.880 0.000
Li 0.620 0.120 0.000
Li 0.880 0.620 0.000
Ag 0.000 0.000 0.500
Ag 0.500 0.500 0.500
Bi 0.179 0.679 0.500
Bi 0.321 0.179 0.500
Bi 0.679 0.821 0.500
Bi 0.821 0.321 0.500
CELL_PARAMETERS angstrom
8.320 0.000 0.000
0.000 8.320 0.000
0.000 0.000 3.359
```

Computed properties:
Density of states at the Fermi level (states/eV/cell): 3.02

B | ## Li2AgBi2 (PBE-GGA)

Data for crystalline Li2AgBi2 at its relaxed geometry. Values from VASP.

```
&SYSTEM
  ibrav = 0, nat = 10, ntyp = 3
/
ATOMIC_SPECIES
Li 6.94 Li.upf
Ag 107.87 Ag.upf
Bi 208.98 Bi.upf
ATOMIC_POSITIONS crystal
Li 0.097 0.000 0.370
Li 0.403 0.500 0.630
Li 0.597 0.500 0.370
Li 0.903 0.000 0.630
Ag 0.000 0.500 0.000
Ag 0.500 0.000 0.000
Bi 0.170 0.500 0.748
Bi 0.330 0.000 0.252
Bi 0.670 0.000 0.748
Bi 0.830 0.500 0.252
CELL_PARAMETERS angstrom
9.852 0.000 0.000
0.000 3.465 0.000
-3.617 0.000 6.619
```

Computed properties:
Density of states at the Fermi level (states/eV/cell): 1.73

C | ## Li2AgBi2 (PBE-GGA)

Data for crystalline Li2AgBi2 at its relaxed geometry. Values from VASP.

```
&SYSTEM
  ibrav = 0, nat = 10, ntyp = 3
/
ATOMIC_SPECIES
Li 6.94 Li.upf
Ag 107.87 Ag.upf
Bi 208.98 Bi.upf
ATOMIC_POSITIONS crystal
Li 0.000 0.500 0.250
Li 0.000 0.500 0.750
Li 0.500 0.000 0.250
Li 0.500 0.000 0.750
Ag 0.000 0.000 0.000
Ag 0.500 0.500 0.500
Bi 0.000 0.000 0.387
Bi 0.000 0.000 0.613
Bi 0.500 0.500 0.113
Bi 0.500 0.500 0.887
CELL_PARAMETERS angstrom
4.411 0.000 0.000
0.000 4.411 0.000
0.000 0.000 12.800
```

Computed properties:
Density of states at the Fermi level (states/eV/cell): 3.22

Least stable = C